The following is a DFT calculation (PBE) of LiLaSn2Au2 after structural relaxation.

As for the spin magnetization: 0.02 μB/cell. Its uncorrected energy is -4.218 eV per atom. Its crystal system is trigonal.

The space group is P3m1 (No. 156) and the conventional cell measures 4.7302, 4.7302 and 7.1575 Å, with angles of 90.00, 90.00 and 120.00 degrees. The inequivalent atoms are Li at (0.0000, 0.0000, 0.0000), La at (0.0000, 0.0000, 0.5028), Sn at (0.3333, 0.6667, 0.7921), Sn at (0.6667, 0.3333, 0.2096), Au at (0.3333, 0.6667, 0.2194) and Au at (0.6667, 0.3333, 0.7972).

=====

The following is a DFT calculation (PBE) of Li2LaSnAu after structural relaxation.

As for the spin magnetization: 0.01 μB/cell. Its uncorrected energy is -3.751 eV per atom. Its crystal system is tetragonal.

The space group is I4mm (No. 107) and the conventional cell measures 4.117, 4.117 and 13.480 Å, with angles of 90.00, 90.00 and 90.00 degrees. The inequivalent atoms are Li at (0.000, 0.500, 0.000), La at (0.000, 0.000, 0.234), Sn at (0.000, 0.000, 0.858) and Au at (0.000, 0.000, 0.635).

=====

The following is a DFT calculation (PBE) of LiLaTlAu after structural relaxation.

As for the spin magnetization: 0.00 μB/cell. The relative energy among the computed polymorphs comes out at 25 meV/atom. Its crystal system is cubic.

The space group is F-43m (No. 216) and the conventional cell measures 7.332, 7.332 and 7.332 Å, with angles of 90.00, 90.00 and 90.00 degrees. The inequivalent atoms are Li at (0.000, 0.000, 0.000), La at (0.000, 0.000, 0.500), Tl at (0.250, 0.250, 0.250) and Au at (0.250, 0.250, 0.750).

=====

The following is a DFT calculation (PBE) of LiLaTlAu after structural relaxation.

As for the spin magnetization: 0.00 μB/cell. The relative energy among the computed polymorphs comes out at 0 meV/atom. Its crystal system is cubic.

The space group is F-43m (No. 216) and the conventional cell measures 7.159, 7.159 and 7.159 Å, with angles of 90.00, 90.00 and 90.00 degrees. The inequivalent atoms are Li at (0.000, 0.000, 0.000), La at (0.250, 0.250, 0.750), Tl at (0.250, 0.250, 0.250) and Au at (0.000, 0.000, 0.500).

=====

The following is a DFT calculation (PBE) of LiLaTlAu after structural relaxation.

As for the spin magnetization: 0.00 μB/cell. The relative energy among the computed polymorphs comes out at 129 meV/atom. Its crystal system is cubic.

The space group is F-43m (No. 216) and the conventional cell measures 7.184, 7.184 and 7.184 Å, with angles of 90.00, 90.00 and 90.00 degrees. The inequivalent atoms are Li at (0.000, 0.000, 0.000), La at (0.250, 0.250, 0.250), Tl at (0.000, 0.000, 0.500) and Au at (0.250, 0.250, 0.750).

=====

The following is a DFT calculation (PBE) of LiLaZnAu2 after structural relaxation.

As for the spin magnetization: 0.04 μB/cell. Its uncorrected energy is -3.555 eV per atom. Its crystal system is tetragonal.

The space group is I-4m2 (No. 119) and the conventional cell measures 4.075, 4.075 and 12.720 Å, with angles of 90.00, 90.00 and 90.00 degrees. The inequivalent atoms are Li at (0.000, 0.000, 0.000), La at (0.000, 0.500, 0.250), Zn at (0.000, 0.000, 0.500) and Au at (0.000, 0.500, 0.636).

=====

The following is a DFT calculation (PBE) of LaLuAu after structural relaxation.

As for the spin magnetization: 0.02 μB/cell. Its crystal system is cubic. The calculation puts the formation energy from the elements at -0.424 eV per atom.

The space group is F-43m (No. 216) and the conventional cell measures 7.138, 7.138 and 7.138 Å, with angles of 90.00, 90.00 and 90.00 degrees. The inequivalent atoms are La at (0.000, 0.000, 0.000), Lu at (0.000, 0.000, 0.500) and Au at (0.250, 0.250, 0.250).

=====

The following is a DFT calculation (PBE) of LaMgAu after structural relaxation.

As for the spin magnetization: 0.00 μB/cell. Its uncorrected energy is -3.919 eV per atom. Its crystal system is hexagonal.

The space group is P-62m (No. 189) and the conventional cell measures 7.8914, 7.8914 and 4.2231 Å, with angles of 90.00, 90.00 and 120.00 degrees. The inequivalent atoms are La at (0.0000, 0.4141, 0.0000), Mg at (0.0000, 0.7617, 0.5000), Au at (0.0000, 0.0000, 0.0000) and Au at (0.3333, 0.6667, 0.5000).